No. 1
Entry from Alexandria via LeMat-Bulk: an optimized crystal structure of CdReTc2 (PBE-GGA).

a = 2.810 Å, b = 4.015 Å, c = 5.728 Å
α = 90.00°, β = 90.00°, γ = 90.00°
Fractional coordinates of all 4 atoms:
Cd 0.000 0.000 0.000
Re 0.500 0.500 0.292
Tc 0.000 0.000 0.500
Tc 0.500 0.500 0.717

Calculated values
formation enthalpy at 0 K = 364 meV/atom
D(E_F) = 1.0416 states/eV per atom
space-group type = Pmm2, No. 25
volume = 16.2 A^3/atom
final energy = -8.1602 eV per atom



No. 2
Entry from Alexandria via LeMat-Bulk: an optimized crystal structure of Cd2ReTc (PBE-GGA).

a = 2.741 Å, b = 4.820 Å, c = 5.282 Å
α = 90.00°, β = 100.16°, γ = 90.00°
Fractional coordinates of all 4 atoms:
Cd 0.246 0.000 0.251
Cd 0.754 0.000 0.749
Re 0.500 0.500 0.000
Tc 0.000 0.500 0.500

Calculated values
formation enthalpy at 0 K = 625 meV/atom
polymorph energy (0 for the lowest one) = 0.452 eV per atom
D(E_F) = 0.7851 states/eV per atom
space-group type = P2/m, No. 10
volume = 17.2 A^3/atom
final energy = -5.5361 eV per atom



No. 3
Entry from Alexandria via LeMat-Bulk: an optimized crystal structure of CdRe2Tc (PBE-GGA).

a = 5.030 Å, b = 5.030 Å, c = 5.030 Å
α = 134.74°, β = 134.74°, γ = 65.93°
Fractional coordinates of all 4 atoms:
Cd 0.000 0.000 0.000
Re 0.250 0.750 0.500
Re 0.750 0.250 0.500
Tc 0.500 0.500 0.000

Calculated values
formation enthalpy at 0 K = 596 meV/atom
D(E_F) = 1.3261 states/eV per atom
space-group type = I4/mmm, No. 139
volume = 15.8 A^3/atom
final energy = -8.4486 eV per atom



No. 4
Entry from Alexandria via LeMat-Bulk: an optimized crystal structure of Cd3ReTc (PBE-GGA).

a = 5.172 Å, b = 5.172 Å, c = 5.172 Å
α = 90.00°, β = 90.00°, γ = 90.00°
Fractional coordinates of all 5 atoms:
Cd 0.000 0.000 0.500
Cd 0.000 0.500 0.000
Cd 0.500 0.000 0.000
Re 0.500 0.500 0.500
Tc 0.000 0.000 0.000

Calculated values
formation enthalpy at 0 K = 1924 meV/atom
polymorph energy (0 for the lowest one) = 0.137 eV per atom
D(E_F) = 1.2221 states/eV per atom
space-group type = Pm-3m, No. 221
volume = 27.7 A^3/atom
final energy = -3.1877 eV per atom



No. 5
Entry from Alexandria via LeMat-Bulk: an optimized crystal structure of CdRe4Tc (PBE-GGA).

a = 5.196 Å, b = 5.196 Å, c = 5.196 Å
α = 60.00°, β = 60.00°, γ = 60.00°
Fractional coordinates of all 6 atoms:
Cd 0.000 0.000 0.000
Re 0.123 0.626 0.626
Re 0.626 0.123 0.626
Re 0.626 0.626 0.123
Re 0.626 0.626 0.626
Tc 0.250 0.250 0.250

Calculated values
formation enthalpy at 0 K = 506 meV/atom
D(E_F) = 0.8793 states/eV per atom
space-group type = F-43m, No. 216
volume = 16.5 A^3/atom
final energy = -9.6731 eV per atom



No. 6
Entry from Alexandria via LeMat-Bulk: an optimized crystal structure of Cd2ReTc (PBE-GGA).

a = 5.031 Å, b = 5.031 Å, c = 2.756 Å
α = 90.00°, β = 90.00°, γ = 90.00°
Fractional coordinates of all 4 atoms:
Cd 0.000 0.500 0.000
Cd 0.500 0.000 0.000
Re 0.000 0.000 0.500
Tc 0.500 0.500 0.500

Calculated values
formation enthalpy at 0 K = 917 meV/atom
polymorph energy (0 for the lowest one) = 0.743 eV per atom
D(E_F) = 0.9754 states/eV per atom
space-group type = P4/mmm, No. 123
volume = 17.4 A^3/atom
final energy = -5.2445 eV per atom



No. 7
Entry from Alexandria via LeMat-Bulk: an optimized crystal structure of CdReTc2 (PBE-GGA).

a = 2.818 Å, b = 3.953 Å, c = 5.826 Å
α = 90.00°, β = 90.00°, γ = 90.00°
Fractional coordinates of all 4 atoms:
Cd 0.000 0.000 0.000
Re 0.000 0.000 0.500
Tc 0.500 0.500 0.289
Tc 0.500 0.500 0.711

Calculated values
formation enthalpy at 0 K = 328 meV/atom
D(E_F) = 1.0837 states/eV per atom
space-group type = Pmmm, No. 47
volume = 16.2 A^3/atom
final energy = -8.1959 eV per atom



No. 8
Entry from Alexandria via LeMat-Bulk: an optimized crystal structure of Cd2ReTc (PBE-GGA).

a = 5.512 Å, b = 5.512 Å, c = 5.512 Å
α = 146.78°, β = 127.58°, γ = 63.49°
Fractional coordinates of all 4 atoms:
Cd 0.000 0.000 0.000
Cd 0.729 0.229 0.500
Re 0.265 0.765 0.500
Tc 0.464 0.464 0.000

Calculated values
formation enthalpy at 0 K = 562 meV/atom
polymorph energy (0 for the lowest one) = 0.388 eV per atom
D(E_F) = 0.8285 states/eV per atom
space-group type = Imm2, No. 44
volume = 18.0 A^3/atom
final energy = -5.5996 eV per atom



No. 9
Entry from Alexandria via LeMat-Bulk: an optimized crystal structure of CdReTc2 (PBE-GGA).

a = 4.062 Å, b = 4.062 Å, c = 3.812 Å
α = 90.00°, β = 90.00°, γ = 90.00°
Fractional coordinates of all 4 atoms:
Cd 0.000 0.000 0.000
Re 0.500 0.500 0.000
Tc 0.000 0.500 0.500
Tc 0.500 0.000 0.500

Calculated values
formation enthalpy at 0 K = 603 meV/atom
D(E_F) = 1.4230 states/eV per atom
space-group type = P4/mmm, No. 123
volume = 15.7 A^3/atom
final energy = -7.9205 eV per atom



No. 10
Entry from Alexandria via LeMat-Bulk: an optimized crystal structure of CdRe2Tc (PBE-GGA).

a = 5.005 Å, b = 5.005 Å, c = 4.845 Å
α = 101.82°, β = 101.82°, γ = 32.72°
Fractional coordinates of all 4 atoms:
Cd 0.000 0.000 0.000
Re 0.234 0.234 0.723
Re 0.766 0.766 0.277
Tc 0.500 0.500 0.500

Calculated values
formation enthalpy at 0 K = 422 meV/atom
D(E_F) = 0.5307 states/eV per atom
space-group type = C2/m, No. 12
volume = 16.0 A^3/atom
final energy = -8.6226 eV per atom



No. 11
Entry from Alexandria via LeMat-Bulk: an optimized crystal structure of Cd4ReTc (PBE-GGA).

a = 5.409 Å, b = 5.409 Å, c = 5.409 Å
α = 60.00°, β = 60.00°, γ = 60.00°
Fractional coordinates of all 6 atoms:
Cd 0.125 0.125 0.125
Cd 0.125 0.125 0.625
Cd 0.125 0.625 0.125
Cd 0.625 0.125 0.125
Re 0.750 0.750 0.750
Tc 0.500 0.500 0.500

Calculated values
formation enthalpy at 0 K = 916 meV/atom
D(E_F) = 0.9101 states/eV per atom
space-group type = F-43m, No. 216
volume = 18.6 A^3/atom
final energy = -3.4967 eV per atom



No. 12
Entry from Alexandria via LeMat-Bulk: an optimized crystal structure of CdRe2Tc (PBE-GGA).

a = 4.691 Å, b = 4.691 Å, c = 2.906 Å
α = 90.00°, β = 90.00°, γ = 90.00°
Fractional coordinates of all 4 atoms:
Cd 0.000 0.000 0.000
Re 0.000 0.500 0.500
Re 0.500 0.000 0.500
Tc 0.500 0.500 0.000

Calculated values
formation enthalpy at 0 K = 811 meV/atom
D(E_F) = 1.0267 states/eV per atom
space-group type = P4/mmm, No. 123
volume = 16.0 A^3/atom
final energy = -8.2329 eV per atom



No. 13
Entry from Alexandria via LeMat-Bulk: an optimized crystal structure of Cd2ReTc (PBE-GGA).

a = 5.539 Å, b = 5.539 Å, c = 5.539 Å
α = 146.47°, β = 132.45°, γ = 59.43°
Fractional coordinates of all 4 atoms:
Cd 0.249 0.249 0.000
Cd 0.751 0.751 0.000
Re 0.500 0.000 0.500
Tc 0.000 0.500 0.500

Calculated values
formation enthalpy at 0 K = 627 meV/atom
polymorph energy (0 for the lowest one) = 0.454 eV per atom
D(E_F) = 0.7922 states/eV per atom
space-group type = Immm, No. 71
volume = 17.2 A^3/atom
final energy = -5.5343 eV per atom



No. 14
Entry from Alexandria via LeMat-Bulk: an optimized crystal structure of Cd3ReTc (PBE-GGA).

a = 5.156 Å, b = 5.156 Å, c = 5.156 Å
α = 90.00°, β = 90.00°, γ = 90.00°
Fractional coordinates of all 5 atoms:
Cd 0.000 0.000 0.500
Cd 0.000 0.500 0.000
Cd 0.500 0.000 0.000
Re 0.000 0.000 0.000
Tc 0.500 0.500 0.500

Calculated values
formation enthalpy at 0 K = 1787 meV/atom
polymorph energy (0 for the lowest one) = 0.000 eV per atom
D(E_F) = 0.8682 states/eV per atom
space-group type = Pm-3m, No. 221
volume = 27.4 A^3/atom
final energy = -3.3245 eV per atom



No. 15
Entry from Alexandria via LeMat-Bulk: an optimized crystal structure of CdReTc2 (PBE-GGA).

a = 4.966 Å, b = 4.966 Å, c = 4.869 Å
α = 101.63°, β = 101.63°, γ = 32.94°
Fractional coordinates of all 4 atoms:
Cd 0.000 0.000 0.000
Re 0.765 0.765 0.286
Tc 0.235 0.235 0.728
Tc 0.502 0.502 0.501

Calculated values
formation enthalpy at 0 K = 388 meV/atom
D(E_F) = 0.6039 states/eV per atom
space-group type = Cm, No. 8
volume = 16.0 A^3/atom
final energy = -8.1359 eV per atom



No. 16
Entry from Alexandria via LeMat-Bulk: an optimized crystal structure of CdReTc2 (PBE-GGA).

a = 2.735 Å, b = 2.735 Å, c = 9.469 Å
α = 90.00°, β = 90.00°, γ = 114.75°
Fractional coordinates of all 4 atoms:
Cd 0.000 0.000 0.000
Re 0.000 0.000 0.500
Tc 0.500 0.500 0.268
Tc 0.500 0.500 0.732

Calculated values
formation enthalpy at 0 K = 363 meV/atom
D(E_F) = 0.9873 states/eV per atom
space-group type = Cmmm, No. 65
volume = 16.1 A^3/atom
final energy = -8.1607 eV per atom



No. 17
Entry from Alexandria via LeMat-Bulk: an optimized crystal structure of CdRe2Tc (PBE-GGA).

a = 5.889 Å, b = 5.889 Å, c = 5.889 Å
α = 101.69°, β = 101.69°, γ = 126.49°
Fractional coordinates of all 8 atoms:
Cd 0.000 0.000 0.000
Cd 0.750 0.250 0.500
Re 0.182 0.625 0.057
Re 0.375 0.432 0.557
Re 0.568 0.125 0.943
Re 0.875 0.818 0.443
Tc 0.250 0.750 0.500
Tc 0.500 0.500 0.000

Calculated values
formation enthalpy at 0 K = 996 meV/atom
D(E_F) = 1.1404 states/eV per atom
space-group type = I-42d, No. 122
volume = 18.3 A^3/atom
final energy = -8.0479 eV per atom



No. 18
Entry from Alexandria via LeMat-Bulk: an optimized crystal structure of CdRe2Tc (PBE-GGA).

a = 4.479 Å, b = 4.479 Å, c = 4.479 Å
α = 60.00°, β = 60.00°, γ = 60.00°
Fractional coordinates of all 4 atoms:
Cd 0.000 0.000 0.000
Re 0.500 0.500 0.500
Re 0.750 0.750 0.750
Tc 0.250 0.250 0.250

Calculated values
formation enthalpy at 0 K = 576 meV/atom
D(E_F) = 0.7680 states/eV per atom
space-group type = F-43m, No. 216
volume = 15.9 A^3/atom
final energy = -8.4687 eV per atom



No. 19
Entry from Alexandria via LeMat-Bulk: an optimized crystal structure of CdReTc2 (PBE-GGA).

a = 4.513 Å, b = 4.513 Å, c = 3.105 Å
α = 90.00°, β = 90.00°, γ = 90.00°
Fractional coordinates of all 4 atoms:
Cd 0.000 0.000 0.000
Re 0.500 0.500 0.000
Tc 0.000 0.500 0.500
Tc 0.500 0.000 0.500

Calculated values
formation enthalpy at 0 K = 557 meV/atom
D(E_F) = 1.2442 states/eV per atom
space-group type = P4/mmm, No. 123
volume = 15.8 A^3/atom
final energy = -7.9665 eV per atom



No. 20
Entry from Alexandria via LeMat-Bulk: an optimized crystal structure of Cd2ReTc (PBE-GGA).

a = 2.981 Å, b = 2.981 Å, c = 8.111 Å
α = 90.00°, β = 90.00°, γ = 90.00°
Fractional coordinates of all 4 atoms:
Cd 0.000 0.000 0.000
Cd 0.500 0.500 0.295
Re 0.000 0.000 0.559
Tc 0.500 0.500 0.737

Calculated values
formation enthalpy at 0 K = 173 meV/atom
polymorph energy (0 for the lowest one) = 0.000 eV per atom
D(E_F) = 0.4710 states/eV per atom
space-group type = P4mm, No. 99
volume = 18.0 A^3/atom
final energy = -5.9880 eV per atom



No. 21
Entry from Alexandria via LeMat-Bulk: an optimized crystal structure of Cd2ReTc (PBE-GGA).

a = 4.584 Å, b = 4.584 Å, c = 4.584 Å
α = 60.00°, β = 60.00°, γ = 60.00°
Fractional coordinates of all 4 atoms:
Cd 0.250 0.250 0.250
Cd 0.750 0.750 0.750
Re 0.000 0.000 0.000
Tc 0.500 0.500 0.500

Calculated values
formation enthalpy at 0 K = 977 meV/atom
polymorph energy (0 for the lowest one) = 0.804 eV per atom
D(E_F) = 1.1578 states/eV per atom
space-group type = Fm-3m, No. 225
volume = 17.0 A^3/atom
final energy = -5.1839 eV per atom



No. 22
Entry from Alexandria via LeMat-Bulk: an optimized crystal structure of CdRe2Tc (PBE-GGA).

a = 4.934 Å, b = 4.934 Å, c = 2.815 Å
α = 90.00°, β = 90.00°, γ = 112.62°
Fractional coordinates of all 4 atoms:
Cd 0.000 0.000 0.000
Re 0.000 0.500 0.500
Re 0.500 0.000 0.500
Tc 0.500 0.500 0.000

Calculated values
formation enthalpy at 0 K = 625 meV/atom
D(E_F) = 1.1708 states/eV per atom
space-group type = Cmmm, No. 65
volume = 15.8 A^3/atom
final energy = -8.4198 eV per atom



No. 23
Entry from Alexandria via LeMat-Bulk: an optimized crystal structure of Cd2ReTc (PBE-GGA).

a = 5.372 Å, b = 5.372 Å, c = 5.372 Å
α = 137.86°, β = 137.86°, γ = 61.12°
Fractional coordinates of all 4 atoms:
Cd 0.250 0.750 0.500
Cd 0.750 0.250 0.500
Re 0.000 0.000 0.000
Tc 0.500 0.500 0.000

Calculated values
formation enthalpy at 0 K = 712 meV/atom
polymorph energy (0 for the lowest one) = 0.539 eV per atom
D(E_F) = 1.1647 states/eV per atom
space-group type = I4/mmm, No. 139
volume = 17.3 A^3/atom
final energy = -5.4487 eV per atom



No. 24
Entry from Alexandria via LeMat-Bulk: an optimized crystal structure of CdReTc2 (PBE-GGA).

a = 4.842 Å, b = 4.842 Å, c = 2.829 Å
α = 90.00°, β = 90.00°, γ = 108.79°
Fractional coordinates of all 4 atoms:
Cd 0.000 0.000 0.000
Re 0.500 0.500 0.000
Tc 0.000 0.500 0.500
Tc 0.500 0.000 0.500

Calculated values
formation enthalpy at 0 K = 506 meV/atom
D(E_F) = 0.9574 states/eV per atom
space-group type = Cmmm, No. 65
volume = 15.7 A^3/atom
final energy = -8.0176 eV per atom



No. 25
Entry from Alexandria via LeMat-Bulk: an optimized crystal structure of CdRe2Tc (PBE-GGA).

a = 4.946 Å, b = 4.946 Å, c = 4.926 Å
α = 101.18°, β = 101.18°, γ = 33.12°
Fractional coordinates of all 4 atoms:
Cd 0.000 0.000 0.000
Re 0.234 0.234 0.712
Re 0.498 0.498 0.499
Tc 0.765 0.765 0.276

Calculated values
formation enthalpy at 0 K = 437 meV/atom
D(E_F) = 0.5283 states/eV per atom
space-group type = Cm, No. 8
volume = 16.1 A^3/atom
final energy = -8.6075 eV per atom



No. 26
Entry from Alexandria via LeMat-Bulk: an optimized crystal structure of Cd2ReTc (PBE-GGA).

a = 4.576 Å, b = 4.576 Å, c = 4.576 Å
α = 119.51°, β = 119.51°, γ = 90.85°
Fractional coordinates of all 4 atoms:
Cd 0.000 0.000 0.000
Cd 0.750 0.250 0.500
Re 0.250 0.750 0.500
Tc 0.500 0.500 0.000

Calculated values
formation enthalpy at 0 K = 601 meV/atom
polymorph energy (0 for the lowest one) = 0.428 eV per atom
D(E_F) = 0.4610 states/eV per atom
space-group type = I-4m2, No. 119
volume = 17.1 A^3/atom
final energy = -5.5598 eV per atom



No. 27
Entry from Alexandria via LeMat-Bulk: an optimized crystal structure of CdRe2Tc (PBE-GGA).

a = 5.405 Å, b = 5.405 Å, c = 5.405 Å
α = 147.76°, β = 128.63°, γ = 61.96°
Fractional coordinates of all 4 atoms:
Cd 0.000 0.000 0.000
Re 0.275 0.775 0.500
Re 0.499 0.499 0.000
Tc 0.727 0.227 0.500

Calculated values
formation enthalpy at 0 K = 533 meV/atom
D(E_F) = 0.7607 states/eV per atom
space-group type = Imm2, No. 44
volume = 16.3 A^3/atom
final energy = -8.5117 eV per atom



No. 28
Entry from Alexandria via LeMat-Bulk: an optimized crystal structure of CdReTc2 (PBE-GGA).

a = 9.547 Å, b = 9.547 Å, c = 9.547 Å
α = 16.83°, β = 16.83°, γ = 16.83°
Fractional coordinates of all 4 atoms:
Cd 0.000 0.000 0.000
Re 0.243 0.243 0.243
Tc 0.499 0.499 0.499
Tc 0.756 0.756 0.756

Calculated values
formation enthalpy at 0 K = 239 meV/atom
D(E_F) = 0.7198 states/eV per atom
space-group type = R3m, No. 160
volume = 15.9 A^3/atom
final energy = -8.2844 eV per atom



No. 29
Entry from Alexandria via LeMat-Bulk: an optimized crystal structure of CdRe2Tc (PBE-GGA).

a = 9.611 Å, b = 9.611 Å, c = 9.611 Å
α = 16.71°, β = 16.71°, γ = 16.71°
Fractional coordinates of all 4 atoms:
Cd 0.000 0.000 0.000
Re 0.243 0.243 0.243
Re 0.757 0.757 0.757
Tc 0.500 0.500 0.500

Calculated values
formation enthalpy at 0 K = 261 meV/atom
D(E_F) = 0.5933 states/eV per atom
space-group type = R-3m, No. 166
volume = 16.0 A^3/atom
final energy = -8.7832 eV per atom



No. 30
Entry from Alexandria via LeMat-Bulk: an optimized crystal structure of CdReTc3 (PBE-GGA).

a = 4.719 Å, b = 4.719 Å, c = 4.719 Å
α = 90.00°, β = 90.00°, γ = 90.00°
Fractional coordinates of all 5 atoms:
Cd 0.000 0.000 0.000
Re 0.500 0.500 0.500
Tc 0.000 0.500 0.500
Tc 0.500 0.000 0.500
Tc 0.500 0.500 0.000

Calculated values
formation enthalpy at 0 K = 1523 meV/atom
polymorph energy (0 for the lowest one) = 0.000 eV per atom
D(E_F) = 0.9310 states/eV per atom
space-group type = Pm-3m, No. 221
volume = 21.0 A^3/atom
final energy = -7.3689 eV per atom